Record 1
Rb2SI: optimized geometry, PBE-GGA.

Its crystal system is tetragonal. Its energy above the lowest structure with this stoichiometry is 0.097 eV/atom.

It has space group I-42d (No. 122), with a = 7.623 Å, b = 7.623 Å, c = 17.264 Å, α = 90.00°, β = 90.00° and γ = 90.00°. The asymmetric unit holds Rb at (0.213, 0.250, 0.125), S at (0.000, 0.000, 0.000) and I at (0.000, 0.000, 0.500).


Record 2
Rb2S6I: optimized geometry, PBE-GGA.

Its crystal system is triclinic.

It has space group P-1 (No. 2), with a = 5.791 Å, b = 7.879 Å, c = 7.884 Å, α = 91.66°, β = 106.76° and γ = 107.59°. The asymmetric unit holds Rb at (0.004, 0.204, 0.298), S at (0.174, 0.329, 0.833), S at (0.390, 0.527, 0.730), S at (0.398, 0.229, 0.023) and I at (0.500, 0.000, 0.500).


Record 3
RbSI2: optimized geometry, PBE-GGA.

Its crystal system is tetragonal. Its energy above the lowest structure with this stoichiometry is 0.017 eV/atom.

It has space group I-42d (No. 122), with a = 6.867 Å, b = 6.867 Å, c = 17.318 Å, α = 90.00°, β = 90.00° and γ = 90.00°. The asymmetric unit holds Rb at (0.000, 0.000, 0.000), S at (0.000, 0.000, 0.500) and I at (0.115, 0.250, 0.625).


Record 4
RbSI3: optimized geometry, PBE-GGA.

Its crystal system is cubic. Its energy above the lowest structure with this stoichiometry is 0.000 eV/atom.

It has space group Pm-3m (No. 221), with a = 5.740 Å, b = 5.740 Å, c = 5.740 Å, α = 90.00°, β = 90.00° and γ = 90.00°. The asymmetric unit holds Rb at (0.000, 0.000, 0.000), S at (0.500, 0.500, 0.500) and I at (0.000, 0.500, 0.500).


Record 5
RbS6I: optimized geometry, PBE-GGA.

Its crystal system is triclinic.

It has space group P-1 (No. 2), with a = 6.578 Å, b = 7.097 Å, c = 7.856 Å, α = 103.76°, β = 103.77° and γ = 107.53°. The asymmetric unit holds Rb at (0.000, 0.000, 0.000), S at (0.048, 0.152, 0.602), S at (0.395, 0.254, 0.675), S at (0.490, 0.341, 0.468) and I at (0.000, 0.500, 0.000).


Record 6
Rb5S2I2: optimized geometry, PBE-GGA.

Its crystal system is orthorhombic.

It has space group Cmce (No. 64), with a = 18.128 Å, b = 9.069 Å, c = 9.074 Å, α = 90.00°, β = 90.00° and γ = 90.00°. The asymmetric unit holds Rb at (0.000, 0.000, 0.000), Rb at (0.120, 0.159, 0.342), S at (0.000, 0.128, 0.628) and I at (0.204, 0.000, 0.000).


| no. | formation energy without anion corrections (eV per atom) | magnetic moment (μB/cell) |
| --- | --- | --- |
| 1 | -0.7962 | 4.00 |
| 2 | -0.4319 | 1.02 |
| 3 | -0.3326 | 0.00 |
| 4 | -0.4634 | 0.00 |
| 5 | -0.2513 | 0.00 |
| 6 | -1.1275 | 3.65 |